[1]
# La2Pr3YEr6

A geometry-optimized La2Pr3YEr6 structure (PBE, the Alexandria database). Values from VASP.

Quantum ESPRESSO input file:
```
&SYSTEM
  ibrav = 0, nat = 12, ntyp = 4
/
ATOMIC_SPECIES
La 138.91 La.upf
Pr 140.91 Pr.upf
Y 88.91 Y.upf
Er 167.26 Er.upf
ATOMIC_POSITIONS crystal
La 0.166 0.834 0.000
La 0.834 0.166 0.000
Pr 0.000 0.000 0.500
Pr 0.333 0.667 0.500
Pr 0.667 0.333 0.500
Y 0.500 0.500 0.000
Er 0.084 0.417 0.750
Er 0.250 0.250 0.251
Er 0.417 0.084 0.750
Er 0.583 0.916 0.250
Er 0.750 0.750 0.749
Er 0.916 0.583 0.250
CELL_PARAMETERS angstrom
3.131 -5.420 0.000
3.131 5.420 0.000
-2.083 0.000 11.651
```

Computed properties:
Its crystal system is monoclinic. For the formation energy, the calculation gives 1.7 kJ/mol of atoms. The calculation puts the size of the total moment at 0.0 Bohr magnetons per cell.



[2]
# CdCu2Ag2Au5

A geometry-optimized CdCu2Ag2Au5 structure (PBE, the Alexandria database). Values from VASP.

Quantum ESPRESSO input file:
```
&SYSTEM
  ibrav = 0, nat = 20, ntyp = 4
/
ATOMIC_SPECIES
Cd 112.41 Cd.upf
Cu 63.55 Cu.upf
Ag 107.87 Ag.upf
Au 196.97 Au.upf
ATOMIC_POSITIONS crystal
Cd 0.000 0.000 0.000
Cd 0.500 0.500 0.000
Cu 0.122 0.378 0.000
Cu 0.378 0.878 0.000
Cu 0.622 0.122 0.000
Cu 0.878 0.622 0.000
Ag 0.171 0.671 0.000
Ag 0.329 0.171 0.000
Ag 0.671 0.829 0.000
Ag 0.829 0.329 0.000
Au 0.000 0.500 0.500
Au 0.085 0.200 0.500
Au 0.200 0.915 0.500
Au 0.300 0.415 0.500
Au 0.415 0.700 0.500
Au 0.500 0.000 0.500
Au 0.585 0.300 0.500
Au 0.700 0.585 0.500
Au 0.800 0.085 0.500
Au 0.915 0.800 0.500
CELL_PARAMETERS angstrom
9.346 0.000 0.000
0.000 9.346 0.000
0.000 0.000 4.112
```

Computed properties:
Its crystal system is tetragonal. For the formation energy, the calculation gives -1.4 kJ/mol of atoms. The calculation puts the size of the total moment at 0.0 Bohr magnetons per cell.



[3]
# Tb3DyY2Bi6

A geometry-optimized Tb3DyY2Bi6 structure (PBE, the Alexandria database). Values from VASP.

Quantum ESPRESSO input file:
```
&SYSTEM
  ibrav = 0, nat = 12, ntyp = 4
/
ATOMIC_SPECIES
Tb 158.93 Tb.upf
Dy 162.50 Dy.upf
Y 88.91 Y.upf
Bi 208.98 Bi.upf
ATOMIC_POSITIONS crystal
Tb 0.000 0.000 0.000
Tb 0.333 0.333 0.667
Tb 0.667 0.667 0.333
Dy 0.000 0.000 0.500
Y 0.333 0.333 0.167
Y 0.667 0.667 0.833
Bi 0.166 0.166 0.583
Bi 0.167 0.167 0.083
Bi 0.500 0.500 0.251
Bi 0.500 0.500 0.749
Bi 0.833 0.833 0.917
Bi 0.834 0.834 0.417
CELL_PARAMETERS angstrom
9.776 -2.243 0.000
9.776 2.243 0.000
-2.048 0.000 8.737
```

Computed properties:
Its crystal system is monoclinic. For the formation energy, the calculation gives -85.2 kJ/mol of atoms. The calculation puts the size of the total moment at 0.0 Bohr magnetons per cell.



[4]
# TiInH2N

A geometry-optimized TiInH2N structure (PBE, the Alexandria database). Values from VASP.

Quantum ESPRESSO input file:
```
&SYSTEM
  ibrav = 0, nat = 5, ntyp = 4
/
ATOMIC_SPECIES
Ti 47.87 Ti.upf
In 114.82 In.upf
H 1.01 H.upf
N 14.01 N.upf
ATOMIC_POSITIONS crystal
Ti 0.000 0.000 0.000
In 0.500 0.500 0.000
H 0.000 0.500 0.500
H 0.500 0.000 0.500
N 0.500 0.500 0.500
CELL_PARAMETERS angstrom
3.774 0.000 0.000
0.000 3.774 0.000
0.000 0.000 4.549
```

Computed properties:
Its crystal system is tetragonal. The final energy is -18.7 eV/f.u. The calculation puts the size of the total moment at 0.0 Bohr magnetons per cell.



[5]
# BaCu2Cl

A geometry-optimized BaCu2Cl structure (PBE, the Alexandria database). Values from VASP.

Quantum ESPRESSO input file:
```
&SYSTEM
  ibrav = 0, nat = 4, ntyp = 3
/
ATOMIC_SPECIES
Ba 137.33 Ba.upf
Cu 63.55 Cu.upf
Cl 35.45 Cl.upf
ATOMIC_POSITIONS crystal
Ba 0.000 0.000 0.000
Cu 0.494 0.500 0.754
Cu 0.506 0.500 0.246
Cl 0.500 0.000 0.500
CELL_PARAMETERS angstrom
4.113 0.000 0.000
0.000 5.289 0.000
-0.019 0.000 4.817
```

Computed properties:
Its crystal system is monoclinic. The final energy is -13.6 eV/f.u. The calculation puts the size of the total moment at 0.0 Bohr magnetons per cell.



[6]
# ZrTcRh2

A geometry-optimized ZrTcRh2 structure (PBE, the Alexandria database). Values from VASP.

Quantum ESPRESSO input file:
```
&SYSTEM
  ibrav = 0, nat = 8, ntyp = 3
/
ATOMIC_SPECIES
Zr 91.22 Zr.upf
Tc 98.00 Tc.upf
Rh 102.91 Rh.upf
ATOMIC_POSITIONS crystal
Zr 0.000 0.000 0.000
Zr 0.750 0.250 0.500
Tc 0.250 0.750 0.500
Tc 0.500 0.500 0.000
Rh 0.144 0.625 0.019
Rh 0.375 0.394 0.519
Rh 0.606 0.125 0.981
Rh 0.875 0.856 0.481
CELL_PARAMETERS angstrom
-1.967 1.967 8.998
1.967 -1.967 8.998
1.967 1.967 -8.998
```

Computed properties:
Its crystal system is tetragonal. For the formation energy, the calculation gives 12.7 kJ/mol of atoms. The calculation puts the size of the total moment at 0.0 Bohr magnetons per cell.